Entry 1:
The following is a DFT calculation (GGA-PBEsol) of a geometry-optimized BaZnAsF structure.

CIF file:
```
data_BaZnAsF
_space_group_name_H-M_alt 'P 4/n m m'
_space_group_IT_number 129
_cell_length_a 4.208
_cell_length_b 4.208
_cell_length_c 9.477
_cell_angle_alpha 90.00
_cell_angle_beta 90.00
_cell_angle_gamma 90.00
loop_
_space_group_symop_operation_xyz
'x,y,z'
'-x,-y,-z'
'-y+1/2,x,z'
'y+1/2,-x,-z'
'-x+1/2,-y+1/2,z'
'x+1/2,y+1/2,-z'
'y,-x+1/2,z'
'-y,x+1/2,-z'
'x+1/2,-y,-z'
'-x+1/2,y,z'
'-y,-x,-z'
'y,x,z'
'-x,y+1/2,-z'
'x,-y+1/2,z'
'y+1/2,x+1/2,-z'
'-y+1/2,-x+1/2,z'
loop_
_atom_site_label
_atom_site_type_symbol
_atom_site_fract_x
_atom_site_fract_y
_atom_site_fract_z
_atom_site_occupancy
Ba1 Ba 0.250 0.250 0.165 1
Zn1 Zn 0.250 0.750 0.500 1
As1 As 0.250 0.250 0.656 1
F1 F 0.250 0.750 0.000 1
```

Results
total moment: 0.00 μB per cell
electronic total energy: -4.577 eV/atom



Entry 2:
The following is a DFT calculation (GGA-PBEsol) of a geometry-optimized ScAlSe2 structure.

CIF file:
```
data_ScAlSe2
_space_group_name_H-M_alt 'P 4/m m m'
_space_group_IT_number 123
_space_group_name_Hall '-P 4 2'
_cell_length_a 4.646
_cell_length_b 4.646
_cell_length_c 3.382
_cell_angle_alpha 90.00
_cell_angle_beta 90.00
_cell_angle_gamma 90.00
loop_
_atom_site_label
_atom_site_type_symbol
_atom_site_fract_x
_atom_site_fract_y
_atom_site_fract_z
_atom_site_occupancy
Sc1 Sc 0.000 0.000 0.000 1
Al1 Al 0.500 0.500 0.000 1
Se1 Se 0.000 0.500 0.500 1
```

Results
total moment: 0.00 μB per cell
electronic total energy: -5.409 eV/atom



Entry 3:
The following is a DFT calculation (GGA-PBEsol) of a geometry-optimized LiHgSb2 structure.

CIF file:
```
data_LiHgSb2
_space_group_name_H-M_alt 'P 4 m m'
_space_group_IT_number 99
_cell_length_a 3.923
_cell_length_b 3.923
_cell_length_c 6.203
_cell_angle_alpha 90.00
_cell_angle_beta 90.00
_cell_angle_gamma 90.00
loop_
_space_group_symop_operation_xyz
'x,y,z'
'-y,x,z'
'-x,-y,z'
'y,-x,z'
'-x,y,z'
'y,x,z'
'x,-y,z'
'-y,-x,z'
loop_
_atom_site_label
_atom_site_type_symbol
_atom_site_fract_x
_atom_site_fract_y
_atom_site_fract_z
_atom_site_occupancy
Li1 Li 0.000 0.000 0.000 1
Hg1 Hg 0.500 0.500 0.793 1
Sb1 Sb 0.000 0.000 0.504 1
Sb2 Sb 0.500 0.500 0.283 1
```

Results
total moment: 0.00 μB per cell
electronic total energy: -3.039 eV/atom



Entry 4:
The following is a DFT calculation (GGA-PBEsol) of a geometry-optimized TaAgHg3 structure.

CIF file:
```
data_TaAgHg3
_space_group_name_H-M_alt 'P m -3 m'
_space_group_IT_number 221
_space_group_name_Hall '-P 4 2 3'
_cell_length_a 5.263
_cell_length_b 5.263
_cell_length_c 5.263
_cell_angle_alpha 90.00
_cell_angle_beta 90.00
_cell_angle_gamma 90.00
loop_
_atom_site_label
_atom_site_type_symbol
_atom_site_fract_x
_atom_site_fract_y
_atom_site_fract_z
_atom_site_occupancy
Ta1 Ta 0.000 0.000 0.000 1
Ag1 Ag 0.500 0.500 0.500 1
Hg1 Hg 0.000 0.000 0.500 1
```

Results
total moment: 0.00 μB per cell
energy of formation from the pure elements: 1.108 eV/atom



Entry 5:
The following is a DFT calculation (GGA-PBEsol) of a geometry-optimized Sm2CoPtO6 structure.

CIF file:
```
data_Sm2CoPtO6
_space_group_name_H-M_alt 'P 1 21/c 1'
_space_group_IT_number 14
_cell_length_a 5.263
_cell_length_b 5.851
_cell_length_c 9.210
_cell_angle_alpha 90.00
_cell_angle_beta 124.73
_cell_angle_gamma 90.00
loop_
_space_group_symop_operation_xyz
'x,y,z'
'-x,-y,-z'
'-x,y+1/2,-z+1/2'
'x,-y+1/2,z+1/2'
loop_
_atom_site_label
_atom_site_type_symbol
_atom_site_fract_x
_atom_site_fract_y
_atom_site_fract_z
_atom_site_occupancy
Sm1 Sm 0.223 0.080 0.250 1
Co1 Co 0.000 0.000 0.500 1
Pt1 Pt 0.500 0.000 0.000 1
O1 O 0.130 0.193 0.947 1
O2 O 0.265 0.696 0.948 1
O3 O 0.354 0.038 0.744 1
```

Results
total moment: 6.01 μB per cell
electronic total energy: -7.744 eV/atom



Entry 6:
The following is a DFT calculation (GGA-PBEsol) of a geometry-optimized TlFe2As structure.

CIF file:
```
data_TlFe2As
_space_group_name_H-M_alt 'P 4/m m m'
_space_group_IT_number 123
_space_group_name_Hall '-P 4 2'
_cell_length_a 4.383
_cell_length_b 4.383
_cell_length_c 3.114
_cell_angle_alpha 90.00
_cell_angle_beta 90.00
_cell_angle_gamma 90.00
loop_
_atom_site_label
_atom_site_type_symbol
_atom_site_fract_x
_atom_site_fract_y
_atom_site_fract_z
_atom_site_occupancy
Tl1 Tl 0.000 0.000 0.000 1
Fe1 Fe 0.000 0.500 0.500 1
As1 As 0.500 0.500 0.000 1
```

Results
total moment: 4.21 μB per cell
energy relative to the lowest polymorph listed for this composition: 0.195 eV per atom
energy of formation from the pure elements: 0.504 eV/atom



Entry 7:
The following is a DFT calculation (GGA-PBEsol) of a geometry-optimized ZnNi6Au structure.

CIF file:
```
data_ZnNi6Au
_space_group_name_H-M_alt 'C m m m'
_space_group_IT_number 65
_space_group_name_Hall '-C 2 2'
_cell_length_a 7.143
_cell_length_b 10.127
_cell_length_c 10.136
_cell_angle_alpha 90.00
_cell_angle_beta 90.00
_cell_angle_gamma 90.00
loop_
_atom_site_label
_atom_site_type_symbol
_atom_site_fract_x
_atom_site_fract_y
_atom_site_fract_z
_atom_site_occupancy
Zn1 Zn 0.000 0.000 0.246 1
Zn2 Zn 0.000 0.252 0.000 1
Ni1 Ni 0.000 0.000 0.000 1
Ni2 Ni 0.000 0.000 0.500 1
Ni3 Ni 0.000 0.247 0.244 1
Ni4 Ni 0.000 0.500 0.000 1
Ni5 Ni 0.000 0.500 0.500 1
Ni6 Ni 0.245 0.123 0.371 1
Ni7 Ni 0.246 0.126 0.121 1
Au1 Au 0.000 0.251 0.500 1
Au2 Au 0.000 0.500 0.248 1
```

Results
total moment: 19.07 μB per cell
energy of formation from the pure elements: -0.018 eV/atom



Entry 8:
The following is a DFT calculation (GGA-PBEsol) of a geometry-optimized Nd3GaNiS7 structure.

CIF file:
```
data_Nd3GaNiS7
_space_group_name_H-M_alt 'P 63'
_space_group_IT_number 173
_cell_length_a 9.6606
_cell_length_b 9.6606
_cell_length_c 6.1865
_cell_angle_alpha 90.00
_cell_angle_beta 90.00
_cell_angle_gamma 120.00
loop_
_space_group_symop_operation_xyz
'x,y,z'
'x-y,x,z+1/2'
'-y,x-y,z'
'-x,-y,z+1/2'
'-x+y,-x,z'
'y,-x+y,z+1/2'
loop_
_atom_site_label
_atom_site_type_symbol
_atom_site_fract_x
_atom_site_fract_y
_atom_site_fract_z
_atom_site_occupancy
Nd1 Nd 0.1656 0.7899 0.0000 1
Ga1 Ga 0.3333 0.6667 0.5772 1
Ni1 Ni 0.0000 0.0000 0.1730 1
S1 S 0.0841 0.5263 0.7203 1
S2 S 0.1007 0.8750 0.4125 1
S3 S 0.3333 0.6667 0.2156 1
```

Results
total moment: 4.08 μB per cell
electronic total energy: -6.153 eV/atom



Please write out number 7 again, unchanged.
The following is a DFT calculation (GGA-PBEsol) of a geometry-optimized ZnNi6Au structure.

CIF file:
```
data_ZnNi6Au
_space_group_name_H-M_alt 'C m m m'
_space_group_IT_number 65
_space_group_name_Hall '-C 2 2'
_cell_length_a 7.143
_cell_length_b 10.127
_cell_length_c 10.136
_cell_angle_alpha 90.00
_cell_angle_beta 90.00
_cell_angle_gamma 90.00
loop_
_atom_site_label
_atom_site_type_symbol
_atom_site_fract_x
_atom_site_fract_y
_atom_site_fract_z
_atom_site_occupancy
Zn1 Zn 0.000 0.000 0.246 1
Zn2 Zn 0.000 0.252 0.000 1
Ni1 Ni 0.000 0.000 0.000 1
Ni2 Ni 0.000 0.000 0.500 1
Ni3 Ni 0.000 0.247 0.244 1
Ni4 Ni 0.000 0.500 0.000 1
Ni5 Ni 0.000 0.500 0.500 1
Ni6 Ni 0.245 0.123 0.371 1
Ni7 Ni 0.246 0.126 0.121 1
Au1 Au 0.000 0.251 0.500 1
Au2 Au 0.000 0.500 0.248 1
```

Results
total moment: 19.07 μB per cell
energy of formation from the pure elements: -0.018 eV/atom



- Which value of total moment does entry 3 give?
  0.00 μB per cell



What did the seventh record say?
The following is a DFT calculation (GGA-PBEsol) of a geometry-optimized ZnNi6Au structure.

CIF file:
```
data_ZnNi6Au
_space_group_name_H-M_alt 'C m m m'
_space_group_IT_number 65
_space_group_name_Hall '-C 2 2'
_cell_length_a 7.143
_cell_length_b 10.127
_cell_length_c 10.136
_cell_angle_alpha 90.00
_cell_angle_beta 90.00
_cell_angle_gamma 90.00
loop_
_atom_site_label
_atom_site_type_symbol
_atom_site_fract_x
_atom_site_fract_y
_atom_site_fract_z
_atom_site_occupancy
Zn1 Zn 0.000 0.000 0.246 1
Zn2 Zn 0.000 0.252 0.000 1
Ni1 Ni 0.000 0.000 0.000 1
Ni2 Ni 0.000 0.000 0.500 1
Ni3 Ni 0.000 0.247 0.244 1
Ni4 Ni 0.000 0.500 0.000 1
Ni5 Ni 0.000 0.500 0.500 1
Ni6 Ni 0.245 0.123 0.371 1
Ni7 Ni 0.246 0.126 0.121 1
Au1 Au 0.000 0.251 0.500 1
Au2 Au 0.000 0.500 0.248 1
```

Results
total moment: 19.07 μB per cell
energy of formation from the pure elements: -0.018 eV/atom



Please write out number 5 again, unchanged.
The following is a DFT calculation (GGA-PBEsol) of a geometry-optimized Sm2CoPtO6 structure.

CIF file:
```
data_Sm2CoPtO6
_space_group_name_H-M_alt 'P 1 21/c 1'
_space_group_IT_number 14
_cell_length_a 5.263
_cell_length_b 5.851
_cell_length_c 9.210
_cell_angle_alpha 90.00
_cell_angle_beta 124.73
_cell_angle_gamma 90.00
loop_
_space_group_symop_operation_xyz
'x,y,z'
'-x,-y,-z'
'-x,y+1/2,-z+1/2'
'x,-y+1/2,z+1/2'
loop_
_atom_site_label
_atom_site_type_symbol
_atom_site_fract_x
_atom_site_fract_y
_atom_site_fract_z
_atom_site_occupancy
Sm1 Sm 0.223 0.080 0.250 1
Co1 Co 0.000 0.000 0.500 1
Pt1 Pt 0.500 0.000 0.000 1
O1 O 0.130 0.193 0.947 1
O2 O 0.265 0.696 0.948 1
O3 O 0.354 0.038 0.744 1
```

Results
total moment: 6.01 μB per cell
electronic total energy: -7.744 eV/atom